First-principles (meta-GGA SCAN) data for a PBEsol-optimized structure of Sc4PbBr, as listed in the Alexandria database.

Values from the calculation:
uncorrected energy = -25.282 eV/atom
magnetic moment = 0.0 μB/f.u.
uncorrected formation energy = 0.083 eV per atom

abc: 5.879 5.879 5.879
angles: 60.00 60.00 60.00
Atoms (fractional coordinates):
Sc1 0.123 0.123 0.123
Sc2 0.123 0.123 0.631
Sc3 0.123 0.631 0.123
Sc4 0.631 0.123 0.123
Pb1 0.750 0.750 0.750
Br1 0.500 0.500 0.500


First-principles (meta-GGA SCAN) data for a PBEsol-optimized structure of ScPb3Br, as listed in the Alexandria database.

Values from the calculation:
uncorrected energy = -52.085 eV/atom
magnetic moment = 0.0 μB/f.u.
uncorrected formation energy = 0.123 eV per atom

abc: 5.603 5.603 5.603
angles: 90.00 90.00 90.00
Atoms (fractional coordinates):
Sc1 0.000 0.000 0.000
Pb1 0.000 0.000 0.500
Pb2 0.000 0.500 0.000
Pb3 0.500 0.000 0.000
Br1 0.500 0.500 0.500


First-principles (meta-GGA SCAN) data for a PBEsol-optimized structure of ScZnPb2Br, as listed in the Alexandria database.

Values from the calculation:
uncorrected energy = -39.432 eV/atom
magnetic moment = 0.0 μB/f.u.
uncorrected formation energy = 0.323 eV per atom

abc: 5.675 5.675 5.133
angles: 90.00 90.00 90.00
Atoms (fractional coordinates):
Sc1 0.000 0.000 0.000
Zn1 0.000 0.000 0.500
Pb1 0.000 0.500 0.000
Pb2 0.500 0.000 0.000
Br1 0.500 0.500 0.500


First-principles (meta-GGA SCAN) data for a PBEsol-optimized structure of PbSeBr, as listed in the Alexandria database.

Values from the calculation:
energy above the most stable polymorph in this dataset = 0 meV per atom
uncorrected energy = -38.821 eV/atom
magnetic moment = 0.0 μB/f.u.
uncorrected formation energy = -0.381 eV per atom

abc: 4.084 4.084 6.067
angles: 90.00 90.00 120.00
Atoms (fractional coordinates):
Pb1 0.000 0.000 0.000
Se1 0.667 0.333 0.746
Br1 0.333 0.667 0.327


First-principles (meta-GGA SCAN) data for a PBEsol-optimized structure of PbSeBr, as listed in the Alexandria database.

Values from the calculation:
energy above the most stable polymorph in this dataset = 123 meV per atom
uncorrected energy = -38.698 eV/atom
magnetic moment = 0.0 μB/f.u.
uncorrected formation energy = -0.258 eV per atom

abc: 5.940 5.940 5.940
angles: 140.81 140.81 56.62
Atoms (fractional coordinates):
Pb1 0.000 0.000 0.000
Se1 0.587 0.587 0.000
Br1 0.285 0.285 0.000


First-principles (meta-GGA SCAN) data for a PBEsol-optimized structure of PbSe4Br, as listed in the Alexandria database.

Values from the calculation:
uncorrected energy = -29.023 eV/atom
magnetic moment = 0.0 μB/f.u.
uncorrected formation energy = 0.236 eV per atom

abc: 5.756 5.756 5.756
angles: 60.00 60.00 60.00
Atoms (fractional coordinates):
Pb1 0.000 0.000 0.000
Se1 0.125 0.625 0.625
Se2 0.625 0.125 0.625
Se3 0.625 0.625 0.125
Se4 0.625 0.625 0.625
Br1 0.250 0.250 0.250


First-principles (meta-GGA SCAN) data for a PBEsol-optimized structure of SrPbSe2Br, as listed in the Alexandria database.

Values from the calculation:
energy above the most stable polymorph in this dataset = 352 meV per atom
uncorrected energy = -32.068 eV/atom
magnetic moment = 1.0 μB/f.u.
uncorrected formation energy = -0.534 eV per atom

abc: 5.622 5.622 5.575
angles: 90.00 90.00 90.00
Atoms (fractional coordinates):
Sr1 0.000 0.000 0.000
Pb1 0.500 0.500 0.500
Se1 0.000 0.500 0.000
Se2 0.500 0.000 0.000
Br1 0.000 0.000 0.500


First-principles (meta-GGA SCAN) data for a PBEsol-optimized structure of SrPbSe2Br, as listed in the Alexandria database.

Values from the calculation:
energy above the most stable polymorph in this dataset = 0 meV per atom
uncorrected energy = -32.420 eV/atom
magnetic moment = 0.0 μB/f.u.
uncorrected formation energy = -0.886 eV per atom

abc: 5.416 5.416 5.550
angles: 90.00 90.00 90.00
Atoms (fractional coordinates):
Sr1 0.000 0.000 0.000
Pb1 0.500 0.500 0.500
Se1 0.000 0.500 0.500
Se2 0.500 0.000 0.500
Br1 0.500 0.500 0.000


Please write out number 6 again, unchanged.
First-principles (meta-GGA SCAN) data for a PBEsol-optimized structure of PbSe4Br, as listed in the Alexandria database.

Values from the calculation:
uncorrected energy = -29.023 eV/atom
magnetic moment = 0.0 μB/f.u.
uncorrected formation energy = 0.236 eV per atom

abc: 5.756 5.756 5.756
angles: 60.00 60.00 60.00
Atoms (fractional coordinates):
Pb1 0.000 0.000 0.000
Se1 0.125 0.625 0.625
Se2 0.625 0.125 0.625
Se3 0.625 0.625 0.125
Se4 0.625 0.625 0.625
Br1 0.250 0.250 0.250